1.
# BeSiNi2 | Alexandria via LeMat-Bulk | GGA-PBEsol | optimized geometry
# - Calculated volume: 39.35 Å³/cell
# - Formation energy without anion corrections: -2.11 eV/f.u.
# - E_tot: -6.043 eV/atom
# - Size of the total moment: 0.00 μB per formula unit
data_BeSiNi2
_symmetry_space_group_name_H-M 'P 1'
_symmetry_Int_Tables_number 1
_cell_length_a 4.323
_cell_length_b 4.323
_cell_length_c 4.323
_cell_angle_alpha 135.34
_cell_angle_beta 135.34
_cell_angle_gamma 65.00
loop_
_symmetry_equiv_pos_as_xyz
'x,y,z'
loop_
_atom_site_label
_atom_site_type_symbol
_atom_site_fract_x
_atom_site_fract_y
_atom_site_fract_z
Be1 Be 0.000 0.000 0.000
Si1 Si 0.250 0.750 0.500
Ni1 Ni 0.500 0.500 0.000
Ni2 Ni 0.750 0.250 0.500



2.
# BeSiNi | Alexandria via LeMat-Bulk | GGA-PBEsol | optimized geometry
# - Calculated volume: 30.24 Å³/cell
# - Formation energy without anion corrections: -1.14 eV/f.u.
# - E_tot: -5.683 eV/atom
# - Size of the total moment: 0.00 μB per formula unit
data_BeSiNi
_symmetry_space_group_name_H-M 'P 1'
_symmetry_Int_Tables_number 1
_cell_length_a 4.082
_cell_length_b 4.082
_cell_length_c 4.082
_cell_angle_alpha 141.60
_cell_angle_beta 133.62
_cell_angle_gamma 61.73
loop_
_symmetry_equiv_pos_as_xyz
'x,y,z'
loop_
_atom_site_label
_atom_site_type_symbol
_atom_site_fract_x
_atom_site_fract_y
_atom_site_fract_z
Be1 Be 0.000 0.000 0.000
Si1 Si 0.327 0.327 0.000
Ni1 Ni 0.661 0.661 0.000



3.
# Ti2BeSiNi | Alexandria via LeMat-Bulk | GGA-PBEsol | optimized geometry
# - Calculated volume: 84.16 Å³/cell
# - Formation energy without anion corrections: 2.78 eV/f.u.
# - E_tot: -5.954 eV/atom
# - Size of the total moment: 0.00 μB per formula unit
data_Ti2BeSiNi
_symmetry_space_group_name_H-M 'P 1'
_symmetry_Int_Tables_number 1
_cell_length_a 4.542
_cell_length_b 4.542
_cell_length_c 4.079
_cell_angle_alpha 90.00
_cell_angle_beta 90.00
_cell_angle_gamma 90.00
loop_
_symmetry_equiv_pos_as_xyz
'x,y,z'
loop_
_atom_site_label
_atom_site_type_symbol
_atom_site_fract_x
_atom_site_fract_y
_atom_site_fract_z
Ti1 Ti 0.000 0.500 0.000
Ti2 Ti 0.500 0.000 0.000
Be1 Be 0.000 0.000 0.500
Si1 Si 0.500 0.500 0.000
Ni1 Ni 0.500 0.500 0.500